# 1
A plane-wave DFT calculation with PBE was carried out for crystalline LaNdPd at its relaxed geometry.

## Properties
Total energy in eV/atom: -5.42
Formation energy in meV per atom: -454
Magnetic moment in μB/atom: 0.28
Energy above the lowest structure with this stoichiometry in eV/atom: 0.0825

a b c (Å): 3.7164 3.7164 12.5317
angles (deg): 90.00 90.00 90.00
Space group I4mm (No. 107)
Unique sites:
1 La 0.0000 0.0000 0.0000 x2
2 Nd 0.0000 0.0000 0.2761 x2
3 Pd 0.0000 0.0000 0.6407 x2

***

# 2
A plane-wave DFT calculation with PBE was carried out for crystalline TbY6Ho3 at its relaxed geometry.

## Properties
Total energy in eV/atom: -5.60
Formation energy in meV per atom: 117
Magnetic moment in μB/atom: 0.00
Energy above the lowest structure with this stoichiometry in eV/atom: 0.0000

a b c (Å): 9.6379 20.9430 6.3845
angles (deg): 90.00 90.00 90.00
Space group Cmc2_1 (No. 36)
Unique sites:
1 Tb 0.0000 0.1613 0.0000 x4
2 Y 0.0000 0.0152 0.8025 x4
3 Y 0.0000 0.3011 0.7723 x4
4 Y 0.1765 0.2813 0.3124 x8
5 Y 0.1812 0.4402 0.5552 x8
6 Ho 0.0000 0.4188 0.0799 x4
7 Ho 0.1683 0.1270 0.4729 x8

***

# 3
A plane-wave DFT calculation with PBE was carried out for crystalline SrCeSn2Au5 at its relaxed geometry.

## Properties
Total energy in eV/atom: -3.94
Formation energy in meV per atom: -380
Magnetic moment in μB/atom: 0.13

a b c (Å): 4.6700 4.6700 9.9545
angles (deg): 90.00 90.00 90.00
Space group P4/mmm (No. 123)
Unique sites:
1 Sr 0.0000 0.0000 0.0000 x1
2 Ce 0.0000 0.0000 0.5000 x1
3 Sn 0.5000 0.5000 0.3570 x2
4 Au 0.0000 0.5000 0.2146 x4
5 Au 0.5000 0.5000 0.0000 x1

***

# 4
A plane-wave DFT calculation with PBE was carried out for crystalline BaZr2Cd at its relaxed geometry.

## Properties
Total energy in eV/atom: -4.62
Formation energy in meV per atom: 365
Magnetic moment in μB/atom: 0.00

a b c (Å): 3.3028 5.5579 6.2183
angles (deg): 90.00 98.34 90.00
Space group P2/m (No. 10)
Unique sites:
1 Ba 0.0000 0.0000 0.0000 x1
2 Zr 0.3164 0.5000 0.7053 x2
3 Cd 0.5000 0.0000 0.5000 x1